Entry 1:
SCAN SrMnAsH2, PBEsol geometry; space-group type = P4/mmm, No. 123; electronic total energy = -13.19 eV/atom; M_tot = 4.21 μB/cell
1.0
3.9687 0.0000 0.0000
0.0000 3.9687 0.0000
0.0000 0.0000 7.0240
Sr Mn As H
1 1 1 2
Cartesian
0.0000 0.0000 0.0000
0.0000 0.0000 3.5120
1.9844 1.9844 3.5120
0.0000 1.9844 0.0000
1.9844 0.0000 0.0000

Entry 2:
SCAN TcBr2, PBEsol geometry; space-group type = C2/m, No. 12; raw formation energy = -0.418 eV per atom; M_tot = 0.00 μB/cell
1.0
6.6286 -1.7959 0.0000
6.6286 1.7959 0.0000
-2.6317 0.0000 6.9625
Tc Br
2 4
Cartesian
-0.2152 0.0000 1.0447
10.8408 0.0000 5.9179
2.7369 0.0000 4.9849
4.6887 0.0000 1.3181
5.9368 0.0000 5.6445
7.8886 0.0000 1.9776

Entry 3:
SCAN HgBH2Pt, PBEsol geometry; space-group type = P4/mmm, No. 123; electronic total energy = -29.84 eV/atom; M_tot = 0.00 μB/cell
1.0
3.3734 0.0000 0.0000
0.0000 3.3734 0.0000
0.0000 0.0000 5.4578
Hg B H Pt
1 1 2 1
Cartesian
0.0000 0.0000 0.0000
1.6867 1.6867 0.0000
0.0000 1.6867 2.7289
1.6867 0.0000 2.7289
0.0000 0.0000 2.7289

Entry 4:
SCAN NiGe3Bi, PBEsol geometry; space-group type = Pm-3m, No. 221; E_form = 0.22 eV per atom; M_tot = 0.00 μB/cell
1.0
4.6426 0.0000 0.0000
0.0000 4.6426 0.0000
0.0000 0.0000 4.6426
Ni Ge Bi
1 3 1
Cartesian
0.0000 0.0000 0.0000
0.0000 0.0000 2.3213
0.0000 2.3213 0.0000
2.3213 0.0000 0.0000
2.3213 2.3213 2.3213

Entry 5:
SCAN LaYW2, PBEsol geometry; ΔE to the lowest computed polymorph = 0.000 eV/atom; space-group type = Cm, No. 8; E_form = 0.58 eV per atom; M_tot = 0.00 μB/cell
1.0
4.1046 -1.5983 0.0000
4.1046 1.5983 0.0000
-0.6485 0.0000 7.4478
La Y W
1 1 2
Cartesian
0.0000 0.0000 0.0000
6.1663 0.0000 2.7859
1.5881 0.0000 5.5135
3.9121 0.0000 4.4975

Entry 6:
SCAN KYBe2, PBEsol geometry; space-group type = Cm, No. 8; E_form = 0.35 eV per atom; M_tot = 0.02 μB/cell
1.0
3.3773 -1.9517 0.0000
3.3773 1.9517 0.0000
-2.2062 0.0000 8.0045
K Y Be
1 1 2
Cartesian
0.0000 0.0000 0.0000
4.5434 0.0000 3.8456
0.0387 0.0000 5.4518
2.2912 0.0000 5.4511

- Number 5 is which compound?
  LaYW2